Entry 1:
{"formula": "NaGa2Ag2", "functional": "GGA-PBE", "state": "relaxed", "relative_energy_ev_per_atom": 0.000, "magnetic_moment_mub_per_cell": 0.0, "formation_enthalpy_0k_ev_per_atom": -0.074, "lattice_angstrom": [[8.054, 0.000, 0.000], [0.000, 8.054, 0.000], [0.000, 0.000, 2.957]], "species": ["Na", "Na", "Ga", "Ga", "Ga", "Ga", "Ag", "Ag", "Ag", "Ag"], "fractional_positions": [[0.000, 0.000, 0.000], [0.500, 0.500, 0.000], [0.120, 0.380, 0.000], [0.380, 0.880, 0.000], [0.620, 0.120, 0.000], [0.880, 0.620, 0.000], [0.180, 0.680, 0.500], [0.320, 0.180, 0.500], [0.680, 0.820, 0.500], [0.820, 0.320, 0.500]]}

Entry 2:
{"formula": "NaGaAg", "functional": "GGA-PBE", "state": "relaxed", "magnetic_moment_mub_per_cell": 0.0, "formation_enthalpy_0k_ev_per_atom": -0.030, "lattice_angstrom": [[-1.680, 1.680, 5.593], [1.680, -1.680, 5.593], [1.680, 1.680, -5.593]], "species": ["Na", "Ga", "Ag"], "fractional_positions": [[0.000, 0.000, 0.000], [0.690, 0.690, 0.000], [0.312, 0.312, 0.000]]}

Entry 3:
{"formula": "NaGaAg4", "functional": "GGA-PBE", "state": "relaxed", "relative_energy_ev_per_atom": 0.055, "magnetic_moment_mub_per_cell": 0.0, "formation_enthalpy_0k_ev_per_atom": 0.060, "lattice_angstrom": [[0.000, 3.954, 3.954], [3.954, 0.000, 3.954], [3.954, 3.954, 0.000]], "species": ["Na", "Ga", "Ag", "Ag", "Ag", "Ag"], "fractional_positions": [[0.000, 0.000, 0.000], [0.750, 0.750, 0.750], [0.375, 0.375, 0.375], [0.375, 0.375, 0.875], [0.375, 0.875, 0.375], [0.875, 0.375, 0.375]]}

Entry 4:
{"formula": "Na2Ga4Ag5", "functional": "GGA-PBE", "state": "relaxed", "magnetic_moment_mub_per_cell": 0.0, "formation_enthalpy_0k_ev_per_atom": -0.053, "lattice_angstrom": [[0.000, 4.701, 8.460], [2.920, 0.000, 8.460], [2.920, 4.701, 0.000]], "species": ["Na", "Na", "Ga", "Ga", "Ga", "Ga", "Ag", "Ag", "Ag", "Ag", "Ag"], "fractional_positions": [[0.131, 0.131, 0.869], [0.869, 0.869, 0.131], [0.216, 0.522, 0.478], [0.478, 0.784, 0.216], [0.522, 0.216, 0.784], [0.784, 0.478, 0.522], [0.000, 0.000, 0.500], [0.250, 0.250, 0.250], [0.500, 0.500, 0.000], [0.500, 0.500, 0.500], [0.750, 0.750, 0.750]]}

Entry 5:
{"formula": "Na3GaAg8", "functional": "GGA-PBE", "state": "relaxed", "magnetic_moment_mub_per_cell": 0.0, "formation_enthalpy_0k_ev_per_atom": -0.019, "lattice_angstrom": [[2.820, 1.628, 9.158], [-2.820, 1.628, 9.158], [0.000, -3.256, 9.158]], "species": ["Na", "Na", "Na", "Ga", "Ag", "Ag", "Ag", "Ag", "Ag", "Ag", "Ag", "Ag"], "fractional_positions": [[0.000, 0.000, 0.000], [0.127, 0.127, 0.127], [0.506, 0.506, 0.506], [0.631, 0.631, 0.631], [0.062, 0.564, 0.564], [0.065, 0.065, 0.567], [0.065, 0.567, 0.065], [0.314, 0.314, 0.314], [0.564, 0.062, 0.564], [0.564, 0.564, 0.062], [0.567, 0.065, 0.065], [0.815, 0.815, 0.815]]}

Entry 6:
{"formula": "NaGa4Ag6", "functional": "GGA-PBE", "state": "relaxed", "magnetic_moment_mub_per_cell": 0.0, "formation_enthalpy_0k_ev_per_atom": 0.054, "lattice_angstrom": [[-3.375, 3.375, 4.989], [3.375, -3.375, 4.989], [3.375, 3.375, -4.989]], "species": ["Na", "Ga", "Ga", "Ga", "Ga", "Ag", "Ag", "Ag", "Ag", "Ag", "Ag"], "fractional_positions": [[0.000, 0.000, 0.000], [0.257, 0.575, 0.000], [0.425, 0.425, 0.682], [0.575, 0.257, 0.000], [0.743, 0.743, 0.318], [0.000, 0.500, 0.500], [0.095, 0.095, 0.578], [0.483, 0.905, 0.000], [0.500, 0.000, 0.500], [0.517, 0.517, 0.422], [0.905, 0.483, 0.000]]}

Entry 7:
{"formula": "Na2GaAg", "functional": "GGA-PBE", "state": "relaxed", "magnetic_moment_mub_per_cell": 0.0, "formation_enthalpy_0k_ev_per_atom": 0.024, "lattice_angstrom": [[3.057, 0.000, 0.000], [0.000, 3.057, 0.000], [0.000, 0.000, 9.437]], "species": ["Na", "Na", "Ga", "Ag"], "fractional_positions": [[0.000, 0.000, 0.245], [0.000, 0.000, 0.755], [0.500, 0.500, 0.500], [0.500, 0.500, 0.000]]}

Entry 8:
{"formula": "NaGa4Ag", "functional": "GGA-PBE", "state": "relaxed", "relative_energy_ev_per_atom": 0.000, "magnetic_moment_mub_per_cell": 0.0, "formation_enthalpy_0k_ev_per_atom": -0.067, "lattice_angstrom": [[6.811, -2.782, 0.000], [6.811, 2.782, 0.000], [-1.631, 0.000, 6.370]], "species": ["Na", "Na", "Ga", "Ga", "Ga", "Ga", "Ga", "Ga", "Ga", "Ga", "Ag", "Ag"], "fractional_positions": [[0.186, 0.186, 0.342], [0.814, 0.814, 0.658], [0.126, 0.647, 0.281], [0.237, 0.763, 0.000], [0.300, 0.300, 0.919], [0.353, 0.874, 0.719], [0.647, 0.126, 0.281], [0.700, 0.700, 0.081], [0.763, 0.237, 0.000], [0.874, 0.353, 0.719], [0.419, 0.419, 0.638], [0.581, 0.581, 0.362]]}

Entry 9:
{"formula": "Na2GaAg2", "functional": "GGA-PBE", "state": "relaxed", "relative_energy_ev_per_atom": 0.314, "magnetic_moment_mub_per_cell": 0.0, "formation_enthalpy_0k_ev_per_atom": 0.246, "lattice_angstrom": [[-2.047, 2.047, 7.131], [2.047, -2.047, 7.131], [2.047, 2.047, -7.131]], "species": ["Na", "Na", "Ga", "Ag", "Ag"], "fractional_positions": [[0.250, 0.750, 0.500], [0.750, 0.250, 0.500], [0.000, 0.000, 0.000], [0.406, 0.406, 0.000], [0.594, 0.594, 0.000]]}

Entry 10:
{"formula": "NaGa4Ag", "functional": "GGA-PBE", "state": "relaxed", "relative_energy_ev_per_atom": 0.070, "magnetic_moment_mub_per_cell": 0.0, "formation_enthalpy_0k_ev_per_atom": 0.003, "lattice_angstrom": [[0.000, 3.904, 3.904], [3.904, 0.000, 3.904], [3.904, 3.904, 0.000]], "species": ["Na", "Ga", "Ga", "Ga", "Ga", "Ag"], "fractional_positions": [[0.000, 0.000, 0.000], [0.126, 0.625, 0.625], [0.625, 0.126, 0.625], [0.625, 0.625, 0.126], [0.625, 0.625, 0.625], [0.250, 0.250, 0.250]]}

Entry 11:
{"formula": "NaGa6Ag12", "functional": "GGA-PBE", "state": "relaxed", "magnetic_moment_mub_per_cell": 0.0, "formation_enthalpy_0k_ev_per_atom": 0.060, "lattice_angstrom": [[6.008, 3.469, 3.000], [-6.008, 3.469, 3.000], [0.000, -6.937, 3.000]], "species": ["Na", "Ga", "Ga", "Ga", "Ga", "Ga", "Ga", "Ag", "Ag", "Ag", "Ag", "Ag", "Ag", "Ag", "Ag", "Ag", "Ag", "Ag", "Ag"], "fractional_positions": [[0.000, 0.000, 0.000], [0.282, 0.282, 0.698], [0.282, 0.698, 0.282], [0.302, 0.718, 0.718], [0.698, 0.282, 0.282], [0.718, 0.302, 0.718], [0.718, 0.718, 0.302], [0.116, 0.500, 0.884], [0.116, 0.884, 0.500], [0.134, 0.380, 0.380], [0.380, 0.134, 0.380], [0.380, 0.380, 0.134], [0.500, 0.116, 0.884], [0.500, 0.884, 0.116], [0.620, 0.620, 0.866], [0.620, 0.866, 0.620], [0.866, 0.620, 0.620], [0.884, 0.116, 0.500], [0.884, 0.500, 0.116]]}

Entry 12:
{"formula": "Na2GaAg2", "functional": "GGA-PBE", "state": "relaxed", "relative_energy_ev_per_atom": 0.018, "magnetic_moment_mub_per_cell": 0.0, "formation_enthalpy_0k_ev_per_atom": -0.051, "lattice_angstrom": [[-2.087, 2.979, 4.713], [2.087, -2.979, 4.713], [2.087, 2.979, -4.713]], "species": ["Na", "Na", "Ga", "Ag", "Ag"], "fractional_positions": [[0.202, 0.202, 0.000], [0.798, 0.798, 0.000], [0.500, 0.000, 0.500], [0.237, 0.500, 0.737], [0.763, 0.500, 0.263]]}